(1)
A plane-wave DFT calculation with PBE was carried out for an optimized crystal structure of LiSeNO2.

a b c (Å): 3.5042 3.5042 4.1462
angles (deg): 90.00 90.00 90.00
Closest atoms and distances in Å follow each position.
Fractional positions:
Se  0.5000  0.5000  0.5000  4 N 2.48, 8 O 2.71
O  0.0000  0.5000  0.0000  2 Li 1.75
O  0.5000  0.0000  0.0000  2 Li 1.75
N  0.0000  0.0000  0.5000  2 Li 2.07
Li  0.0000  0.0000  0.0000  4 O 1.75

Properties
Its uncorrected formation energy is 4.8 eV/f.u. Its spin magnetization is 2.290 μB/f.u.



(2)
A plane-wave DFT calculation with PBE was carried out for an optimized crystal structure of AcLaCd.

a b c (Å): 5.5154 5.5154 5.5128
angles (deg): 89.80 120.18 120.07
Closest atoms and distances in Å follow each position.
Fractional positions:
Ac  0.9446  0.4726  0.4172  4 Cd 3.37-3.38
La  0.9443  0.9719  0.9162  4 Cd 3.37-3.38
Cd  0.4444  0.2222  0.6666  4 La 3.37-3.38, 4 Ac 3.37-3.38

Properties
The calculation puts the formation energy from the elements at 0.040 eV/atom. The value obtained for the energy above the most stable polymorph in this dataset is 0.245 eV per atom. Its spin magnetization is 0.003 μB/f.u.